The following is a PBE with a Hubbard U calculation of a relaxed Mo3RuO crystal, from Alexandria.

It has space group Pm-3m (No. 221), with a = 4.129 Å, b = 4.129 Å, c = 4.129 Å, α = 90.00°, β = 90.00° and γ = 90.00°. The asymmetric unit holds Mo at (0.000, 0.000, 0.500), Ru at (0.500, 0.500, 0.500) and O at (0.000, 0.000, 0.000).

As for the magnetization: 0.00 μB per formula unit. The energy above the lowest structure with this stoichiometry comes out at 0 meV/atom.